# 1
# PBE Fe2Sn2Mo3, relaxed
data_Fe2Sn2Mo3
_symmetry_space_group_name_H-M 'R 3 m'
_symmetry_Int_Tables_number 160
_symmetry_space_group_name_Hall 'R 3 -2"'
_cell_length_a 4.3975
_cell_length_b 4.3975
_cell_length_c 19.6872
_cell_angle_alpha 90.00
_cell_angle_beta 90.00
_cell_angle_gamma 120.00
loop_
_atom_site_label
_atom_site_type_symbol
_atom_site_fract_x
_atom_site_fract_y
_atom_site_fract_z
Fe1 Fe 0.0000 0.0000 0.0000
Fe2 Fe 0.0000 0.0000 0.4388
Sn1 Sn 0.0000 0.0000 0.1506
Sn2 Sn 0.0000 0.0000 0.7217
Mo1 Mo 0.0000 0.0000 0.3002
Mo2 Mo 0.0000 0.0000 0.5805
Mo3 Mo 0.0000 0.0000 0.8734
# Volume = 15.70 Å³/atom
# Total magnetization = 0.2339 μB/atom
# Uncorrected energy = -7.981 eV per atom

# 2
# PBE TaFeSnMo, relaxed
data_TaFeSnMo
_symmetry_space_group_name_H-M 'F -4 3 m'
_symmetry_Int_Tables_number 216
_symmetry_space_group_name_Hall 'F -4 2 3'
_cell_length_a 6.365
_cell_length_b 6.365
_cell_length_c 6.365
_cell_angle_alpha 90.00
_cell_angle_beta 90.00
_cell_angle_gamma 90.00
loop_
_atom_site_label
_atom_site_type_symbol
_atom_site_fract_x
_atom_site_fract_y
_atom_site_fract_z
Ta1 Ta 0.000 0.000 0.000
Fe1 Fe 0.250 0.250 0.750
Sn1 Sn 0.000 0.000 0.500
Mo1 Mo 0.250 0.250 0.250
# Volume = 16.12 Å³/atom
# Distance to the lowest polymorph of the same formula = 0.0 kJ/mol of formula units
# Total magnetization = 0.2314 μB/atom
# Uncorrected energy = -8.669 eV per atom

# 3
# PBE FeSnMoW, relaxed
data_FeSnMoW
_symmetry_space_group_name_H-M 'F -4 3 m'
_symmetry_Int_Tables_number 216
_symmetry_space_group_name_Hall 'F -4 2 3'
_cell_length_a 6.288
_cell_length_b 6.288
_cell_length_c 6.288
_cell_angle_alpha 90.00
_cell_angle_beta 90.00
_cell_angle_gamma 90.00
loop_
_atom_site_label
_atom_site_type_symbol
_atom_site_fract_x
_atom_site_fract_y
_atom_site_fract_z
Fe1 Fe 0.000 0.000 0.000
Sn1 Sn 0.250 0.250 0.750
Mo1 Mo 0.000 0.000 0.500
W1 W 0.250 0.250 0.250
# Volume = 15.54 Å³/atom
# Distance to the lowest polymorph of the same formula = 0.0 kJ/mol of formula units
# Total magnetization = 0.0003 μB/atom
# Uncorrected energy = -8.742 eV per atom

# 4
# PBE YFeSnMo, relaxed
data_YFeSnMo
_symmetry_space_group_name_H-M 'F -4 3 m'
_symmetry_Int_Tables_number 216
_symmetry_space_group_name_Hall 'F -4 2 3'
_cell_length_a 6.611
_cell_length_b 6.611
_cell_length_c 6.611
_cell_angle_alpha 90.00
_cell_angle_beta 90.00
_cell_angle_gamma 90.00
loop_
_atom_site_label
_atom_site_type_symbol
_atom_site_fract_x
_atom_site_fract_y
_atom_site_fract_z
Y1 Y 0.000 0.000 0.000
Fe1 Fe 0.250 0.250 0.750
Sn1 Sn 0.000 0.000 0.500
Mo1 Mo 0.250 0.250 0.250
# Volume = 18.06 Å³/atom
# Distance to the lowest polymorph of the same formula = 0.0 kJ/mol of formula units
# Total magnetization = 0.7380 μB/atom
# Uncorrected energy = -7.137 eV per atom

# 5
# PBE YFeSnMo, relaxed
data_YFeSnMo
_symmetry_space_group_name_H-M 'F -4 3 m'
_symmetry_Int_Tables_number 216
_symmetry_space_group_name_Hall 'F -4 2 3'
_cell_length_a 6.658
_cell_length_b 6.658
_cell_length_c 6.658
_cell_angle_alpha 90.00
_cell_angle_beta 90.00
_cell_angle_gamma 90.00
loop_
_atom_site_label
_atom_site_type_symbol
_atom_site_fract_x
_atom_site_fract_y
_atom_site_fract_z
Y1 Y 0.000 0.000 0.000
Fe1 Fe 0.000 0.000 0.500
Sn1 Sn 0.250 0.250 0.250
Mo1 Mo 0.250 0.250 0.750
# Volume = 18.45 Å³/atom
# Distance to the lowest polymorph of the same formula = 64.3 kJ/mol of formula units
# Total magnetization = 0.7528 μB/atom
# Uncorrected energy = -6.971 eV per atom

# 6
# PBE ZnFeSnMo, relaxed
data_ZnFeSnMo
_symmetry_space_group_name_H-M 'F -4 3 m'
_symmetry_Int_Tables_number 216
_symmetry_space_group_name_Hall 'F -4 2 3'
_cell_length_a 6.294
_cell_length_b 6.294
_cell_length_c 6.294
_cell_angle_alpha 90.00
_cell_angle_beta 90.00
_cell_angle_gamma 90.00
loop_
_atom_site_label
_atom_site_type_symbol
_atom_site_fract_x
_atom_site_fract_y
_atom_site_fract_z
Zn1 Zn 0.000 0.000 0.000
Fe1 Fe 0.250 0.250 0.750
Sn1 Sn 0.000 0.000 0.500
Mo1 Mo 0.250 0.250 0.250
# Volume = 15.58 Å³/atom
# Distance to the lowest polymorph of the same formula = 0.0 kJ/mol of formula units
# Total magnetization = 0.7069 μB/atom
# Uncorrected energy = -5.755 eV per atom

# 7
# PBE ZrFeSnMo, relaxed
data_ZrFeSnMo
_symmetry_space_group_name_H-M 'F -4 3 m'
_symmetry_Int_Tables_number 216
_symmetry_space_group_name_Hall 'F -4 2 3'
_cell_length_a 6.501
_cell_length_b 6.501
_cell_length_c 6.501
_cell_angle_alpha 90.00
_cell_angle_beta 90.00
_cell_angle_gamma 90.00
loop_
_atom_site_label
_atom_site_type_symbol
_atom_site_fract_x
_atom_site_fract_y
_atom_site_fract_z
Zr1 Zr 0.000 0.000 0.000
Fe1 Fe 0.250 0.250 0.750
Sn1 Sn 0.000 0.000 0.500
Mo1 Mo 0.250 0.250 0.250
# Volume = 17.18 Å³/atom
# Distance to the lowest polymorph of the same formula = 0.0 kJ/mol of formula units
# Total magnetization = 0.4908 μB/atom
# Uncorrected energy = -7.876 eV per atom

# 8
# PBE TaTlFeMo, relaxed
data_TaTlFeMo
_symmetry_space_group_name_H-M 'F -4 3 m'
_symmetry_Int_Tables_number 216
_symmetry_space_group_name_Hall 'F -4 2 3'
_cell_length_a 6.445
_cell_length_b 6.445
_cell_length_c 6.445
_cell_angle_alpha 90.00
_cell_angle_beta 90.00
_cell_angle_gamma 90.00
loop_
_atom_site_label
_atom_site_type_symbol
_atom_site_fract_x
_atom_site_fract_y
_atom_site_fract_z
Ta1 Ta 0.000 0.000 0.000
Tl1 Tl 0.000 0.000 0.500
Fe1 Fe 0.250 0.250 0.750
Mo1 Mo 0.250 0.250 0.250
# Volume = 16.73 Å³/atom
# Distance to the lowest polymorph of the same formula = 0.0 kJ/mol of formula units
# Total magnetization = 0.4683 μB/atom
# Uncorrected energy = -7.842 eV per atom